Here is a relaxed structure of Zr4Ni5As6 from Alexandria via LeMat-Bulk. Energies are from GGA-PBE.

a = 9.2444 Å, b = 9.2444 Å, c = 14.0906 Å
α = 90.00°, β = 90.00°, γ = 156.04°
Positions (direct):
Zr (0.0105, 0.9895, 0.5000)
Zr (0.0323, 0.9677, 0.7692)
Zr (0.1736, 0.8264, 0.2982)
Zr (0.1873, 0.8127, 0.9372)
Zr (0.8127, 0.1873, 0.4372)
Zr (0.8264, 0.1736, 0.7982)
Zr (0.9677, 0.0323, 0.2692)
Zr (0.9895, 0.0105, 0.0000)
Ni (0.1396, 0.8604, 0.6215)
Ni (0.3019, 0.6981, 0.6167)
Ni (0.3479, 0.6521, 0.2737)
Ni (0.3590, 0.6410, 0.9769)
Ni (0.4391, 0.5609, 0.6783)
Ni (0.5609, 0.4391, 0.1783)
Ni (0.6410, 0.3590, 0.4769)
Ni (0.6521, 0.3479, 0.7737)
Ni (0.6981, 0.3019, 0.1167)
Ni (0.8604, 0.1396, 0.1215)
As (0.1189, 0.8811, 0.1110)
As (0.2154, 0.7846, 0.4910)
As (0.2239, 0.7761, 0.7488)
As (0.4196, 0.5804, 0.4126)
As (0.4337, 0.5663, 0.1300)
As (0.4338, 0.5662, 0.8460)
As (0.5662, 0.4338, 0.3460)
As (0.5663, 0.4337, 0.6300)
As (0.5804, 0.4196, 0.9126)
As (0.7761, 0.2239, 0.2488)
As (0.7846, 0.2154, 0.9910)
As (0.8811, 0.1189, 0.6110)

symmetry: Cmc2_1 (36)
formation enthalpy at 0 K: -760 meV per atom
raw total energy: -6.827 eV per atom